Record 1
The following is a GGA-PBE calculation of an optimized crystal structure of Ti4NbGe2, from Alexandria via LeMat-Bulk.

Cell lengths 4.5468, 4.5468, 14.0105 Å; angles 90.00, 90.00, 90.00 degrees
Fractional positions:
Ti: 0.0000 0.0000 0.1849
Ti: 0.0000 0.0000 0.8151
Ti: 0.0000 0.5000 0.0000
Ti: 0.0000 0.5000 0.5000
Ti: 0.5000 0.0000 0.0000
Ti: 0.5000 0.0000 0.5000
Ti: 0.5000 0.5000 0.3151
Ti: 0.5000 0.5000 0.6849
Nb: 0.0000 0.0000 0.0000
Nb: 0.5000 0.5000 0.5000
Ge: 0.0000 0.0000 0.3684
Ge: 0.0000 0.0000 0.6316
Ge: 0.5000 0.5000 0.1316
Ge: 0.5000 0.5000 0.8684

Computed properties:
Calculated formation energy, kJ/mol of formula units: 398

***

Record 2
The following is a GGA-PBE calculation of an optimized crystal structure of PmPr6Y3, from Alexandria via LeMat-Bulk.

Cell lengths 11.3028, 11.3028, 6.3587 Å; angles 90.00, 90.00, 120.48 degrees
Fractional positions:
Pm: 0.1977 0.8023 0.5000
Pm: 0.8023 0.1977 0.0000
Pr: 0.0389 0.9611 0.2850
Pr: 0.0550 0.4731 0.7624
Pr: 0.2809 0.7191 0.0318
Pr: 0.2914 0.3734 0.9310
Pr: 0.3734 0.2914 0.4310
Pr: 0.4731 0.0550 0.2624
Pr: 0.5269 0.9450 0.7624
Pr: 0.6266 0.7086 0.9310
Pr: 0.7086 0.6266 0.4310
Pr: 0.7191 0.2809 0.5318
Pr: 0.9450 0.5269 0.2624
Pr: 0.9611 0.0389 0.7850
Y: 0.0569 0.2857 0.3518
Y: 0.2857 0.0569 0.8518
Y: 0.3843 0.6157 0.4698
Y: 0.6157 0.3843 0.9698
Y: 0.7143 0.9431 0.3518
Y: 0.9431 0.7143 0.8518

Computed properties:
Calculated formation energy, kJ/mol of formula units: 126

***

For the records above, the corresponding total magnetization values read 0.00; 0.00 Bohr magnetons per cell.